DFT (PBE-GGA) results for an optimized crystal structure of MoBrCl4. Values from VASP.

## Properties
Crystal system = cubic
ΔE_f (raw) = 0.9339 eV/atom
N(E_F) = 8.250 states/eV/cell

Quantum ESPRESSO input file:
```
&SYSTEM
  ibrav = 0, nat = 6, ntyp = 3
/
ATOMIC_SPECIES
Mo 95.94 Mo.upf
Br 79.90 Br.upf
Cl 35.45 Cl.upf
CELL_PARAMETERS angstrom
0.000 4.079 4.079
4.079 0.000 4.079
4.079 4.079 0.000
ATOMIC_POSITIONS angstrom
Mo 6.119 6.119 6.119
Br 0.000 0.000 0.000
Cl 3.066 5.093 5.093
Cl 5.093 5.093 3.066
Cl 5.093 3.066 5.093
Cl 3.066 3.066 3.066
```

---

DFT (PBE-GGA) results for an optimized crystal structure of MoBrCl2. Values from VASP.

## Properties
Crystal system = orthorhombic
ΔE_f (raw) = 0.5766 eV/atom
N(E_F) = 3.384 states/eV/cell

Quantum ESPRESSO input file:
```
&SYSTEM
  ibrav = 0, nat = 4, ntyp = 3
/
ATOMIC_SPECIES
Mo 95.94 Mo.upf
Br 79.90 Br.upf
Cl 35.45 Cl.upf
CELL_PARAMETERS angstrom
4.800 -0.075 0.000
-1.944 4.390 0.000
0.000 0.000 4.880
ATOMIC_POSITIONS angstrom
Mo 2.400 -0.037 2.440
Br -0.972 2.195 2.440
Cl 0.000 0.000 0.000
Cl 1.428 2.157 0.000
```

---

DFT (PBE-GGA) results for an optimized crystal structure of MoBrCl. Values from VASP.

## Properties
Crystal system = tetragonal
ΔE_f (raw) = 0.1154 eV/atom
N(E_F) = 1.970 states/eV/cell

Quantum ESPRESSO input file:
```
&SYSTEM
  ibrav = 0, nat = 3, ntyp = 3
/
ATOMIC_SPECIES
Mo 95.94 Mo.upf
Br 79.90 Br.upf
Cl 35.45 Cl.upf
CELL_PARAMETERS angstrom
-0.690 0.901 -6.984
3.338 -0.875 -6.177
-2.194 -2.067 6.402
ATOMIC_POSITIONS angstrom
Mo 1.764 0.017 -8.764
Br 0.140 0.001 -0.694
Cl 0.745 0.007 -3.703
```

---

DFT (PBE-GGA) results for an optimized crystal structure of Mo2BrCl. Values from VASP.

## Properties
Crystal system = monoclinic
ΔE_f (raw) = -0.1376 eV/atom
N(E_F) = 2.405 states/eV/cell

Quantum ESPRESSO input file:
```
&SYSTEM
  ibrav = 0, nat = 4, ntyp = 3
/
ATOMIC_SPECIES
Mo 95.94 Mo.upf
Br 79.90 Br.upf
Cl 35.45 Cl.upf
CELL_PARAMETERS angstrom
3.061 0.000 0.000
0.000 3.378 -0.004
0.000 -0.026 8.922
ATOMIC_POSITIONS angstrom
Mo 0.000 2.952 0.354
Mo 1.531 1.263 1.792
Br 0.000 1.263 3.843
Cl 1.531 2.927 7.384
```

---

DFT (PBE-GGA) results for an optimized crystal structure of MoBr2Cl. Values from VASP.

## Properties
Crystal system = tetragonal
ΔE_f (raw) = 0.1869 eV/atom
N(E_F) = 3.667 states/eV/cell

Quantum ESPRESSO input file:
```
&SYSTEM
  ibrav = 0, nat = 4, ntyp = 3
/
ATOMIC_SPECIES
Mo 95.94 Mo.upf
Br 79.90 Br.upf
Cl 35.45 Cl.upf
CELL_PARAMETERS angstrom
-3.113 0.203 -0.545
0.133 -2.639 -1.746
-1.488 -4.574 6.799
ATOMIC_POSITIONS angstrom
Mo -2.606 -4.648 3.954
Br -1.401 -4.306 6.400
Br -0.831 -2.556 3.799
Cl -1.862 -2.361 0.555
```

---

DFT (PBE-GGA) results for an optimized crystal structure of MoBr2Cl3. Values from VASP.

## Properties
Crystal system = monoclinic
ΔE_f (raw) = -0.6031 eV/atom
N(E_F) = 7.487 states/eV/cell

Quantum ESPRESSO input file:
```
&SYSTEM
  ibrav = 0, nat = 12, ntyp = 3
/
ATOMIC_SPECIES
Mo 95.94 Mo.upf
Br 79.90 Br.upf
Cl 35.45 Cl.upf
CELL_PARAMETERS angstrom
6.541 0.884 3.668
0.574 6.576 3.668
2.648 2.776 11.661
ATOMIC_POSITIONS angstrom
Mo 5.191 3.497 6.583
Mo 4.572 6.738 12.414
Br 6.271 4.343 8.630
Br 4.397 2.378 4.537
Br 5.366 7.857 14.460
Br 3.492 5.892 10.367
Cl 3.526 5.085 6.583
Cl 6.237 5.150 12.414
Cl 0.992 2.052 2.100
Cl 6.436 7.760 11.066
Cl 8.772 8.183 16.897
Cl 3.327 2.475 7.930
```

---

DFT (PBE-GGA) results for an optimized crystal structure of MoBr4Cl4. Values from VASP.

## Properties
Crystal system = tetragonal
ΔE_f (raw) = -0.1570 eV/atom
N(E_F) = 1.561 states/eV/cell

Quantum ESPRESSO input file:
```
&SYSTEM
  ibrav = 0, nat = 18, ntyp = 3
/
ATOMIC_SPECIES
Mo 95.94 Mo.upf
Br 79.90 Br.upf
Cl 35.45 Cl.upf
CELL_PARAMETERS angstrom
5.384 0.000 0.000
0.000 10.589 0.000
0.000 0.000 10.590
ATOMIC_POSITIONS angstrom
Mo 0.000 0.000 0.000
Mo 2.692 5.294 5.295
Br 4.432 7.532 5.290
Br 4.432 3.057 5.300
Br 1.740 10.584 8.353
Br 3.645 2.237 10.585
Br 3.645 8.352 0.005
Br 0.953 5.290 3.058
Br 0.953 5.299 7.532
Br 1.740 0.005 2.237
Cl 0.927 2.261 10.585
Cl 3.619 5.300 7.556
Cl 0.927 8.327 0.005
Cl 1.765 3.033 5.300
Cl 4.457 10.584 8.328
Cl 1.765 7.556 5.290
Cl 3.619 5.289 3.034
Cl 4.457 0.005 2.261
```

---

DFT (PBE-GGA) results for an optimized crystal structure of MoBr2Cl. Values from VASP.

## Properties
Crystal system = orthorhombic
ΔE_f (raw) = 0.6589 eV/atom
N(E_F) = 1.925 states/eV/cell

Quantum ESPRESSO input file:
```
&SYSTEM
  ibrav = 0, nat = 4, ntyp = 3
/
ATOMIC_SPECIES
Mo 95.94 Mo.upf
Br 79.90 Br.upf
Cl 35.45 Cl.upf
CELL_PARAMETERS angstrom
-2.231 -2.996 1.798
1.087 -2.501 -2.819
5.181 -1.736 3.539
ATOMIC_POSITIONS angstrom
Mo 3.134 -2.118 0.360
Br 0.000 0.000 0.000
Br -0.572 -2.749 -0.510
Cl 1.475 -2.366 2.668
```